{"formula": "LaSe3", "functional": "PBE", "state": "optimized geometry", "cell": [[5.995, 0.000, 0.000], [0.000, 6.106, 0.000], [0.000, 3.053, 5.289]], "species": ["Se", "Se", "Se", "Se", "Se", "Se", "La", "La"], "fractional_positions": [[0.250, 0.827, 0.346], [0.750, 0.173, 0.654], [0.750, 0.173, 0.173], [0.250, 0.346, 0.827], [0.750, 0.654, 0.173], [0.250, 0.827, 0.827], [0.250, 0.333, 0.333], [0.750, 0.667, 0.667]], "dos_at_fermi_per_ev_atom": 0.3818, "e_form_raw_ev_per_atom": -1.067, "space_group": "No. 194", "vol_a3_per_atom": 24.20}